Entry from the Alexandria database: a geometry-optimized AcEuAl4 structure (GGA-PBE).

Cell lengths 8.219, 8.219, 8.219 Å; angles 90.00, 90.00, 90.00 degrees
Space group F-43m (No. 216)
Inequivalent atoms, fractional coordinates:
Ac (0.000, 0.000, 0.000)
Eu (0.250, 0.250, 0.250)
Al (0.125, 0.125, 0.625)

size of the total moment: 1.1964 μB per atom
D(E_F): 10.97 states/eV/cell
energy of formation: -0.38 eV/atom
DFT total energy: -5.272 eV per atom
crystal system: cubic